No. 1
This record from the Alexandria database describes a PBEsol-optimized structure of Ge3Bi4O12. The functional is SCAN.

a b c (Å): 9.065 9.065 9.065
angles (deg): 109.47 109.47 109.47
Fractional positions:
Ge (0.125, 0.750, 0.875)
Ge (0.250, 0.625, 0.375)
Ge (0.375, 0.250, 0.625)
Ge (0.625, 0.375, 0.250)
Ge (0.750, 0.875, 0.125)
Ge (0.875, 0.125, 0.750)
Bi (0.000, 0.333, 0.500)
Bi (0.000, 0.833, 0.500)
Bi (0.167, 0.167, 0.167)
Bi (0.333, 0.500, 0.000)
Bi (0.500, 0.000, 0.333)
Bi (0.500, 0.000, 0.833)
Bi (0.667, 0.667, 0.667)
Bi (0.833, 0.500, 0.000)
O (0.051, 0.637, 0.333)
O (0.086, 0.282, 0.949)
O (0.137, 0.551, 0.833)
O (0.167, 0.803, 0.718)
O (0.197, 0.414, 0.363)
O (0.218, 0.303, 0.667)
O (0.282, 0.949, 0.086)
O (0.303, 0.667, 0.218)
O (0.333, 0.051, 0.637)
O (0.363, 0.197, 0.414)
O (0.414, 0.363, 0.197)
O (0.449, 0.782, 0.586)
O (0.551, 0.833, 0.137)
O (0.586, 0.449, 0.782)
O (0.637, 0.333, 0.051)
O (0.667, 0.218, 0.303)
O (0.697, 0.863, 0.914)
O (0.718, 0.167, 0.803)
O (0.782, 0.586, 0.449)
O (0.803, 0.718, 0.167)
O (0.833, 0.137, 0.551)
O (0.863, 0.914, 0.697)
O (0.914, 0.697, 0.863)
O (0.949, 0.086, 0.282)

Values from the calculation:
Uncorrected formation energy in eV/atom: -1.50
Space-group type: I-43d, No. 220
Uncorrected energy in eV per atom: -24.997
Size of the total moment in μB per cell: 0.00

=====

No. 2
This record from the Alexandria database describes a PBEsol-optimized structure of GeBi2O5. The functional is SCAN.

a b c (Å): 11.036 3.933 10.857
angles (deg): 90.00 90.00 90.00
Fractional positions:
Ge (0.210, 0.250, 0.139)
Ge (0.290, 0.750, 0.639)
Ge (0.710, 0.250, 0.361)
Ge (0.790, 0.750, 0.861)
Bi (0.077, 0.250, 0.785)
Bi (0.138, 0.250, 0.446)
Bi (0.362, 0.750, 0.946)
Bi (0.423, 0.750, 0.285)
Bi (0.577, 0.250, 0.715)
Bi (0.638, 0.250, 0.054)
Bi (0.862, 0.750, 0.554)
Bi (0.923, 0.750, 0.215)
O (0.001, 0.250, 0.600)
O (0.060, 0.250, 0.188)
O (0.187, 0.750, 0.767)
O (0.248, 0.250, 0.978)
O (0.248, 0.750, 0.133)
O (0.252, 0.250, 0.633)
O (0.252, 0.750, 0.478)
O (0.313, 0.250, 0.267)
O (0.440, 0.750, 0.688)
O (0.499, 0.750, 0.100)
O (0.501, 0.250, 0.900)
O (0.560, 0.250, 0.312)
O (0.687, 0.750, 0.733)
O (0.748, 0.250, 0.522)
O (0.748, 0.750, 0.367)
O (0.752, 0.250, 0.867)
O (0.752, 0.750, 0.022)
O (0.813, 0.250, 0.233)
O (0.940, 0.750, 0.812)
O (0.999, 0.750, 0.400)

Values from the calculation:
Uncorrected formation energy in eV/atom: -1.39
Space-group type: Pnma, No. 62
Uncorrected energy in eV per atom: -27.316
Size of the total moment in μB per cell: 0.00

=====

The lowest uncorrected formation energy belongs to which entry?
Ge3Bi4O12

=====

Number 1 is which compound?
Ge3Bi4O12